Record 1
The following is a PBE calculation of crystalline CeNd2Pd3 at its relaxed geometry, from Alexandria.

Cell: 5.929 8.351 7.277 Å, 106.71 114.04 90.00°
Each line ends with the local moment (μB).
Atoms (fractional coordinates):
Pd  0.838  0.420  0.679  -0.01
Pd  0.499  0.750  0.000  -0.01
Pd  0.160  0.080  0.321  -0.01
Pd  0.840  0.920  0.679  -0.01
Pd  0.501  0.250  0.000  -0.01
Pd  0.162  0.580  0.321  -0.01
Nd  0.333  0.916  0.665  -0.01
Nd  0.331  0.416  0.665  -0.01
Nd  0.667  0.084  0.335  -0.01
Nd  0.669  0.584  0.335  -0.01
Ce  0.001  0.250  0.000  0.53
Ce  0.999  0.750  0.000  0.53

Values from the calculation:
The energy relative to the elements comes out at -3.9 eV/f.u. Its magnetization is 0.5 μB per formula unit. Its space-group type is No. 15.

***

Record 2
The following is a PBE calculation of crystalline CeNdPd2 at its relaxed geometry, from Alexandria.

Cell: 5.096 5.096 5.096 Å, 60.00 60.00 60.00°
Each line ends with the local moment (μB).
Atoms (fractional coordinates):
Nd  0.500  0.500  0.500  0.05
Pd  0.750  0.750  0.750  -0.02
Pd  0.250  0.250  0.250  -0.02
Ce  0.000  0.000  0.000  0.74

Values from the calculation:
The energy relative to the elements comes out at -2.6 eV/f.u. Its magnetization is 0.9 μB per formula unit. Its space-group type is No. 225. Its energy above the lowest structure with this stoichiometry is 7.2 meV/atom.

***

Record 3
The following is a PBE calculation of crystalline CeNdPd at its relaxed geometry, from Alexandria.

Cell: 3.788 4.789 4.789 Å, 120.00 90.00 90.00°
Each line ends with the local moment (μB).
Atoms (fractional coordinates):
Ce  0.029  0.000  0.000  0.43
Pd  0.315  0.333  0.667  0.00
Nd  0.655  0.667  0.333  0.02

Values from the calculation:
The energy relative to the elements comes out at -0.8 eV/f.u. Its magnetization is 0.5 μB per formula unit. Its space-group type is No. 156. Its energy above the lowest structure with this stoichiometry is 107.6 meV/atom.

***

Record 4
The following is a PBE calculation of crystalline Ce2Nd2Pd15 at its relaxed geometry, from Alexandria.

Cell: 7.147 7.147 7.147 Å, 80.97 80.97 80.97°
Each line ends with the local moment (μB).
Atoms (fractional coordinates):
Pd  0.000  0.686  0.314  -0.01
Pd  0.000  0.000  0.500  -0.02
Pd  0.655  0.162  0.655  -0.01
Pd  0.345  0.838  0.345  -0.01
Pd  0.686  0.314  0.000  -0.01
Pd  0.655  0.655  0.162  -0.01
Pd  0.686  0.000  0.314  -0.01
Pd  0.500  0.000  0.000  -0.02
Pd  0.838  0.345  0.345  -0.01
Pd  0.314  0.686  0.000  -0.01
Pd  0.000  0.500  0.000  -0.02
Pd  0.000  0.314  0.686  -0.01
Pd  0.162  0.655  0.655  -0.01
Pd  0.345  0.345  0.838  -0.01
Pd  0.314  0.000  0.686  -0.01
Nd  0.638  0.638  0.638  0.01
Nd  0.362  0.362  0.362  0.01
Ce  0.896  0.896  0.896  0.47
Ce  0.104  0.104  0.104  0.47

Values from the calculation:
The energy relative to the elements comes out at -10.6 eV/f.u. Its magnetization is 1.0 μB per formula unit. Its space-group type is No. 166.